A plane-wave DFT calculation with PBE+U was carried out for a geometry-optimized CoGeIO2 structure.

Summary:
Offset from the most stable computed form = 0 meV per atom
Electronic total energy = -4.54 eV/atom

a b c (Å): 3.721 3.721 6.523
angles (deg): 90.00 90.00 90.00
Positions (direct):
Co1 0.000 0.000 0.000
Ge1 0.500 0.500 0.500
I1 0.500 0.500 0.000
O1 0.000 0.500 0.500
O2 0.500 0.000 0.500